# 1
Here is NpUIrPd after structural relaxation from Alexandria via LeMat-Bulk. Energies are from PBE.

Calculated values
Crystal system   cubic
Formation energy from the elements   -0.49 eV per atom
Total magnetic moment   4.107 μB/cell

abc: 4.661 4.661 4.661
angles: 60.00 60.00 60.00
Sites, in units of the cell vectors:
Np: 0.000 0.000 0.000
U: 0.250 0.250 0.250
Ir: 0.500 0.500 0.500
Pd: 0.750 0.750 0.750

***

# 2
Here is PrPuAu after structural relaxation from Alexandria via LeMat-Bulk. Energies are from PBE.

Calculated values
Crystal system   monoclinic
E above lowest polymorph   0.0611 eV/atom
Formation energy from the elements   -0.21 eV per atom
Total magnetic moment   1.422 μB/cell

abc: 4.862 3.599 8.657
angles: 90.00 97.22 90.00
Sites, in units of the cell vectors:
Pr: 0.225 0.250 0.358
Pr: 0.775 0.750 0.642
Pu: 0.151 0.750 0.006
Pu: 0.849 0.250 0.994
Au: 0.310 0.250 0.744
Au: 0.690 0.750 0.256

***

# 3
Here is CaHgBr after structural relaxation from Alexandria via LeMat-Bulk. Energies are from PBE.

Calculated values
Crystal system   tetragonal
E above lowest polymorph   0.0371 eV/atom
Uncorrected formation energy   -1.096 eV per atom
Total magnetic moment   0.000 μB/cell

abc: 3.774 3.774 12.058
angles: 90.00 90.00 90.00
Sites, in units of the cell vectors:
Ca: 0.250 0.250 0.234
Ca: 0.750 0.750 0.766
Hg: 0.250 0.250 0.932
Hg: 0.750 0.750 0.068
Br: 0.250 0.250 0.638
Br: 0.750 0.750 0.362

***

# 4
Here is RbNi2Pt after structural relaxation from Alexandria via LeMat-Bulk. Energies are from PBE.

Calculated values
Crystal system   cubic
E above lowest polymorph   0.3947 eV/atom
Formation energy from the elements   0.93 eV per atom
Total magnetic moment   0.775 μB/cell

abc: 4.605 4.605 4.605
angles: 60.00 60.00 60.00
Sites, in units of the cell vectors:
Rb: 0.000 0.000 0.000
Ni: 0.250 0.250 0.250
Ni: 0.750 0.750 0.750
Pt: 0.500 0.500 0.500

***

# 5
Here is LiPrBiPb after structural relaxation from Alexandria via LeMat-Bulk. Energies are from PBE.

Calculated values
Crystal system   cubic
Formation energy from the elements   -0.38 eV per atom
Total magnetic moment   0.000 μB/cell

abc: 5.461 5.461 5.461
angles: 60.00 60.00 60.00
Sites, in units of the cell vectors:
Li: 0.000 0.000 0.000
Pr: 0.500 0.500 0.500
Bi: 0.750 0.750 0.750
Pb: 0.250 0.250 0.250

***

# 6
Here is SiSbTeHF after structural relaxation from Alexandria via LeMat-Bulk. Energies are from PBE.

Calculated values
Crystal system   triclinic
E above lowest polymorph   0.0000 eV/atom
Total magnetic moment   0.000 μB/cell

abc: 4.538 4.644 6.347
angles: 96.99 96.05 93.51
Sites, in units of the cell vectors:
Si: 0.000 0.000 0.000
Sb: 0.213 0.717 0.686
Te: 0.698 0.238 0.710
H: 0.801 0.856 0.135
F: 0.216 0.240 0.164

***

# 7
Here is Cd2InGa2Pt5 after structural relaxation from Alexandria via LeMat-Bulk. Energies are from PBE.

Calculated values
Crystal system   tetragonal
Formation energy from the elements   -0.41 eV per atom
Total magnetic moment   0.000 μB/cell

abc: 9.425 9.425 3.910
angles: 90.00 90.00 90.00
Sites, in units of the cell vectors:
Cd: 0.173 0.327 0.000
Cd: 0.327 0.827 0.000
Cd: 0.673 0.173 0.000
Cd: 0.827 0.673 0.000
In: 0.000 0.000 0.000
In: 0.500 0.500 0.000
Ga: 0.125 0.625 0.000
Ga: 0.375 0.125 0.000
Ga: 0.625 0.875 0.000
Ga: 0.875 0.375 0.000
Pt: 0.000 0.500 0.500
Pt: 0.077 0.799 0.500
Pt: 0.201 0.077 0.500
Pt: 0.299 0.577 0.500
Pt: 0.423 0.299 0.500
Pt: 0.500 0.000 0.500
Pt: 0.577 0.701 0.500
Pt: 0.701 0.423 0.500
Pt: 0.799 0.923 0.500
Pt: 0.923 0.201 0.500

***

# 8
Here is CaHfNb3 after structural relaxation from Alexandria via LeMat-Bulk. Energies are from PBE.

Calculated values
Crystal system   cubic
E above lowest polymorph   0.0000 eV/atom
Formation energy from the elements   1.29 eV per atom
Total magnetic moment   0.000 μB/cell

abc: 5.047 5.047 5.047
angles: 90.00 90.00 90.00
Sites, in units of the cell vectors:
Ca: 0.000 0.000 0.000
Hf: 0.500 0.500 0.500
Nb: 0.000 0.500 0.500
Nb: 0.500 0.000 0.500
Nb: 0.500 0.500 0.000

***

# 9
Here is LiPuRu after structural relaxation from Alexandria via LeMat-Bulk. Energies are from PBE.

Calculated values
Crystal system   tetragonal
E above lowest polymorph   0.1651 eV/atom
Formation energy from the elements   0.10 eV per atom
Total magnetic moment   5.090 μB/cell

abc: 5.587 5.587 5.587
angles: 145.87 145.87 49.03
Sites, in units of the cell vectors:
Li: 0.000 0.000 0.000
Pu: 0.712 0.712 0.000
Ru: 0.367 0.367 0.000

***

# 10
Here is BaAs2Cl after structural relaxation from Alexandria via LeMat-Bulk. Energies are from PBE.

Calculated values
Crystal system   orthorhombic
E above lowest polymorph   0.0981 eV/atom
Uncorrected formation energy   -0.964 eV per atom
Total magnetic moment   0.000 μB/cell

abc: 5.883 5.883 5.883
angles: 140.48 115.27 78.57
Sites, in units of the cell vectors:
Ba: 0.000 0.000 0.000
As: 0.311 0.811 0.500
As: 0.477 0.477 0.000
Cl: 0.746 0.246 0.500

***

# 11
Here is PrCd2Pb after structural relaxation from Alexandria via LeMat-Bulk. Energies are from PBE.

Calculated values
Crystal system   hexagonal
Formation energy from the elements   0.34 eV per atom
Total magnetic moment   0.002 μB/cell

abc: 5.299 5.299 5.932
angles: 90.00 90.00 120.00
Sites, in units of the cell vectors:
Pr: 0.000 0.000 0.000
Cd: 0.000 0.000 0.500
Cd: 0.333 0.667 0.500
Pb: 0.667 0.333 0.500

***

# 12
Here is Li5MnCl8 after structural relaxation from Alexandria via LeMat-Bulk. Energies are from PBE.

Calculated values
Crystal system   tetragonal
E above lowest polymorph   0.0000 eV/atom
Uncorrected formation energy   -1.513 eV per atom
Total magnetic moment   3.935 μB/cell

abc: 7.402 7.402 7.402
angles: 103.97 103.97 121.14
Sites, in units of the cell vectors:
Li: 0.000 0.000 0.000
Li: 0.142 0.074 0.463
Li: 0.321 0.858 0.932
Li: 0.610 0.679 0.537
Li: 0.926 0.390 0.068
Mn: 0.750 0.250 0.500
Cl: 0.064 0.894 0.700
Cl: 0.081 0.404 0.773
Cl: 0.106 0.806 0.170
Cl: 0.194 0.364 0.300
Cl: 0.596 0.368 0.677
Cl: 0.632 0.309 0.227
Cl: 0.636 0.936 0.830
Cl: 0.691 0.919 0.323

***

# 13
Here is LiB2Rh2 after structural relaxation from Alexandria via LeMat-Bulk. Energies are from PBE.

Calculated values
Crystal system   monoclinic
E above lowest polymorph   0.0598 eV/atom
Formation energy from the elements   -0.30 eV per atom
Total magnetic moment   0.000 μB/cell

abc: 5.409 5.409 5.738
angles: 103.97 103.97 114.94
Sites, in units of the cell vectors:
Li: 0.150 0.850 0.750
Li: 0.850 0.150 0.250
B: 0.214 0.786 0.250
B: 0.431 0.569 0.750
B: 0.569 0.431 0.250
B: 0.786 0.214 0.750
Rh: 0.229 0.460 0.986
Rh: 0.460 0.229 0.486
Rh: 0.540 0.771 0.514
Rh: 0.771 0.540 0.014

***

# 14
Here is BMoAs2 after structural relaxation from Alexandria via LeMat-Bulk. Energies are from PBE.

Calculated values
Crystal system   tetragonal
Formation energy from the elements   0.50 eV per atom
Total magnetic moment   4.237 μB/cell

abc: 6.032 6.032 6.032
angles: 124.41 124.41 82.52
Sites, in units of the cell vectors:
B: 0.000 0.000 0.000
B: 0.750 0.250 0.500
Mo: 0.250 0.750 0.500
Mo: 0.500 0.500 0.000
As: 0.061 0.625 0.936
As: 0.375 0.311 0.436
As: 0.689 0.125 0.064
As: 0.875 0.939 0.564

***

# 15
Here is KMgFe2 after structural relaxation from Alexandria via LeMat-Bulk. Energies are from PBE.

Calculated values
Crystal system   monoclinic
E above lowest polymorph   0.5740 eV/atom
Formation energy from the elements   1.06 eV per atom
Total magnetic moment   5.045 μB/cell

abc: 5.663 5.663 2.770
angles: 96.97 96.97 117.99
Sites, in units of the cell vectors:
K: 0.000 0.000 0.000
Mg: 0.500 0.500 0.000
Fe: 0.000 0.500 0.500
Fe: 0.500 0.000 0.500

***

# 16
Here is Mg2Sc3Ni2 after structural relaxation from Alexandria via LeMat-Bulk. Energies are from PBE.

Calculated values
Crystal system   orthorhombic
Formation energy from the elements   -0.27 eV per atom
Total magnetic moment   0.405 μB/cell

abc: 10.927 10.927 3.411
angles: 90.00 90.00 160.28
Sites, in units of the cell vectors:
Mg: 0.088 0.912 0.000
Mg: 0.912 0.088 0.000
Sc: 0.321 0.679 0.500
Sc: 0.500 0.500 0.500
Sc: 0.679 0.321 0.500
Ni: 0.216 0.784 0.000
Ni: 0.784 0.216 0.000

***

# 17
Here is RbGaGe after structural relaxation from Alexandria via LeMat-Bulk. Energies are from PBE.

Calculated values
Crystal system   triclinic
Formation energy from the elements   -0.13 eV per atom
Total magnetic moment   0.000 μB/cell

abc: 4.325 6.130 7.276
angles: 96.57 103.23 106.85
Sites, in units of the cell vectors:
Rb: 0.244 0.287 0.142
Rb: 0.756 0.713 0.858
Ga: 0.033 0.708 0.451
Ga: 0.967 0.292 0.549
Ge: 0.437 0.111 0.663
Ge: 0.563 0.889 0.337

***

# 18
Here is AcZr2Ru after structural relaxation from Alexandria via LeMat-Bulk. Energies are from PBE.

Calculated values
Crystal system   tetragonal
Formation energy from the elements   -0.08 eV per atom
Total magnetic moment   0.000 μB/cell

abc: 3.387 3.387 8.337
angles: 90.00 90.00 90.00
Sites, in units of the cell vectors:
Ac: 0.000 0.000 0.000
Zr: 0.500 0.500 0.314
Zr: 0.500 0.500 0.686
Ru: 0.000 0.000 0.500

***

# 19
Here is Cd3SbO after structural relaxation from Alexandria via LeMat-Bulk. Energies are from PBE.

Calculated values
Crystal system   cubic
E above lowest polymorph   0.0000 eV/atom
Uncorrected formation energy   -0.211 eV per atom
Total magnetic moment   0.000 μB/cell

abc: 4.731 4.731 4.731
angles: 90.00 90.00 90.00
Sites, in units of the cell vectors:
Cd: 0.000 0.000 0.500
Cd: 0.000 0.500 0.000
Cd: 0.500 0.000 0.000
Sb: 0.500 0.500 0.500
O: 0.000 0.000 0.000

***

# 20
Here is NaHgI after structural relaxation from Alexandria via LeMat-Bulk. Energies are from PBE.

Calculated values
Crystal system   monoclinic
E above lowest polymorph   0.0446 eV/atom
Uncorrected formation energy   -0.733 eV per atom
Total magnetic moment   0.000 μB/cell

abc: 4.425 6.559 4.435
angles: 90.00 90.23 90.00
Sites, in units of the cell vectors:
Na: 0.000 0.000 0.000
Hg: 0.905 0.500 0.184
I: 0.497 0.000 0.505

***

# 21
Here is PmDy4Tm15 after structural relaxation from Alexandria via LeMat-Bulk. Energies are from PBE.

Calculated values
Crystal system   tetragonal
Formation energy from the elements   0.03 eV per atom
Total magnetic moment   0.000 μB/cell

abc: 4.957 4.957 24.776
angles: 90.00 90.00 90.00
Sites, in units of the cell vectors:
Pm: 0.000 0.000 0.000
Dy: 0.000 0.000 0.201
Dy: 0.000 0.000 0.400
Dy: 0.000 0.000 0.600
Dy: 0.000 0.000 0.799
Tm: 0.000 0.500 0.101
Tm: 0.000 0.500 0.301
Tm: 0.000 0.500 0.500
Tm: 0.000 0.500 0.699
Tm: 0.000 0.500 0.899
Tm: 0.500 0.000 0.101
Tm: 0.500 0.000 0.301
Tm: 0.500 0.000 0.500
Tm: 0.500 0.000 0.699
Tm: 0.500 0.000 0.899
Tm: 0.500 0.500 0.000
Tm: 0.500 0.500 0.201
Tm: 0.500 0.500 0.400
Tm: 0.500 0.500 0.600
Tm: 0.500 0.500 0.799